1.
Material: LiSbAu2
Method: DFT, PBE
State: optimized geometry

## Properties
uncorrected formation energy: -0.280 eV per atom
ρ: 11.46 g/cm³
space group: I-4m2
magnetic moment: 0.00 μB per cell

Cell: 5.190 5.190 5.190 Å, 131.99 131.99 70.25°
Element x y z (fractional)
1 Li 0.000 0.000 0.000
2 Sb 0.750 0.250 0.500
3 Au 0.250 0.750 0.500
4 Au 0.500 0.500 0.000


2.
Material: Li2MoOs
Method: DFT, PBE
State: optimized geometry

## Properties
formation energy: 276.7 meV/atom
ρ: 8.38 g/cm³
space group: Cm
ΔE to the lowest computed polymorph: 128.6 meV per atom
magnetic moment: 0.00 μB per cell

Cell: 4.626 4.626 5.262 Å, 92.42 92.42 31.93°
Element x y z (fractional)
1 Li 0.000 0.000 0.000
2 Li 0.245 0.245 0.787
3 Mo 0.494 0.494 0.483
4 Os 0.738 0.738 0.284


3.
Material: Pr4GeSe3
Method: DFT, PBE
State: optimized geometry

## Properties
uncorrected formation energy: -1.670 eV per atom
ρ: 6.53 g/cm³
space group: Pm-3m
magnetic moment: 0.00 μB per cell

Cell: 6.056 6.056 6.056 Å, 90.00 90.00 90.00°
Element x y z (fractional)
1 Pr 0.000 0.000 0.000
2 Pr 0.000 0.500 0.500
3 Pr 0.500 0.000 0.500
4 Pr 0.500 0.500 0.000
5 Ge 0.500 0.500 0.500
6 Se 0.000 0.000 0.500
7 Se 0.000 0.500 0.000
8 Se 0.500 0.000 0.000


4.
Material: TcNi2HPd
Method: DFT, PBE
State: optimized geometry

## Properties
ρ: 9.89 g/cm³
space group: P4/mmm
magnetic moment: 0.00 μB per cell

Cell: 3.801 3.801 3.750 Å, 90.00 90.00 90.00°
Element x y z (fractional)
1 Tc 0.000 0.000 0.000
2 Ni 0.000 0.500 0.500
3 Ni 0.500 0.000 0.500
4 H 0.000 0.000 0.500
5 Pd 0.500 0.500 0.000


5.
Material: SrCd2Cl
Method: DFT, PBE
State: optimized geometry

## Properties
uncorrected formation energy: -0.802 eV per atom
ρ: 4.90 g/cm³
space group: Fmmm
ΔE to the lowest computed polymorph: 8.5 meV per atom
magnetic moment: 0.00 μB per cell

Cell: 7.238 7.178 4.246 Å, 73.66 72.09 34.26°
Element x y z (fractional)
1 Sr 0.000 0.000 0.000
2 Cd 0.000 0.500 0.500
3 Cd 0.500 0.000 0.000
4 Cl 0.500 0.500 0.500


6.
Material: PrDy3Te3
Method: DFT, PBE
State: optimized geometry

## Properties
uncorrected formation energy: -0.869 eV per atom
ρ: 7.37 g/cm³
space group: R-3
magnetic moment: 0.00 μB per cell

Cell: 9.204 9.204 9.204 Å, 52.60 52.60 52.60°
Element x y z (fractional)
1 Pr 0.167 0.167 0.167
2 Pr 0.833 0.833 0.833
3 Dy 0.024 0.723 0.388
4 Dy 0.277 0.612 0.976
5 Dy 0.388 0.024 0.723
6 Dy 0.612 0.976 0.277
7 Dy 0.723 0.388 0.024
8 Dy 0.976 0.277 0.612
9 Te 0.122 0.425 0.746
10 Te 0.254 0.878 0.575
11 Te 0.425 0.746 0.122
12 Te 0.575 0.254 0.878
13 Te 0.746 0.122 0.425
14 Te 0.878 0.575 0.254


7.
Material: GdDyZnAg
Method: DFT, PBE
State: optimized geometry

## Properties
formation energy: -313.9 meV/atom
ρ: 8.59 g/cm³
space group: F-43m
magnetic moment: 7.15 μB per cell

Cell: 5.128 5.128 5.128 Å, 60.00 60.00 60.00°
Element x y z (fractional)
1 Gd 0.000 0.000 0.000
2 Dy 0.500 0.500 0.500
3 Zn 0.750 0.750 0.750
4 Ag 0.250 0.250 0.250


8.
Material: TlCd3As
Method: DFT, PBE
State: optimized geometry

## Properties
formation energy: 241.4 meV/atom
ρ: 6.65 g/cm³
space group: Pm-3m
ΔE to the lowest computed polymorph: 0.0 meV per atom
magnetic moment: 0.00 μB per cell

Cell: 5.360 5.360 5.360 Å, 90.00 90.00 90.00°
Element x y z (fractional)
1 Tl 0.000 0.000 0.000
2 Cd 0.000 0.500 0.500
3 Cd 0.500 0.000 0.500
4 Cd 0.500 0.500 0.000
5 As 0.500 0.500 0.500


9.
Material: KSrO3
Method: DFT, PBE
State: optimized geometry

## Properties
uncorrected formation energy: -0.897 eV per atom
ρ: 2.88 g/cm³
space group: Pm-3m
magnetic moment: 3.00 μB per cell

Cell: 4.653 4.653 4.653 Å, 90.00 90.00 90.00°
Element x y z (fractional)
1 K 0.000 0.000 0.000
2 Sr 0.500 0.500 0.500
3 O 0.000 0.500 0.500
4 O 0.500 0.000 0.500
5 O 0.500 0.500 0.000


10.
Material: YSi2Hg
Method: DFT, PBE
State: optimized geometry

## Properties
uncorrected formation energy: -0.158 eV per atom
ρ: 6.56 g/cm³
space group: C2/m
magnetic moment: 0.00 μB per cell

Cell: 5.302 5.302 5.196 Å, 114.79 114.79 42.10°
Element x y z (fractional)
1 Y 0.000 0.000 0.000
2 Si 0.252 0.252 0.649
3 Si 0.748 0.748 0.351
4 Hg 0.500 0.500 0.500


11.
Material: Y5Ge2Bi2
Method: DFT, PBE
State: optimized geometry

## Properties
formation energy: -890.0 meV/atom
ρ: 6.74 g/cm³
space group: Cmce
magnetic moment: 0.00 μB per cell

Cell: 8.685 8.685 8.033 Å, 90.00 90.00 54.99°
Element x y z (fractional)
1 Y 0.000 0.000 0.000
2 Y 0.038 0.715 0.661
3 Y 0.215 0.538 0.161
4 Y 0.285 0.962 0.661
5 Y 0.462 0.785 0.161
6 Y 0.500 0.500 0.500
7 Y 0.538 0.215 0.839
8 Y 0.715 0.038 0.339
9 Y 0.785 0.462 0.839
10 Y 0.962 0.285 0.339
11 Ge 0.142 0.858 0.359
12 Ge 0.358 0.642 0.859
13 Ge 0.642 0.358 0.141
14 Ge 0.858 0.142 0.641
15 Bi 0.206 0.206 0.000
16 Bi 0.294 0.294 0.500
17 Bi 0.706 0.706 0.500
18 Bi 0.794 0.794 0.000


12.
Material: LiYHf
Method: DFT, PBE
State: optimized geometry

## Properties
formation energy: 272.0 meV/atom
ρ: 6.30 g/cm³
space group: Pnma
ΔE to the lowest computed polymorph: 173.3 meV per atom
magnetic moment: 0.00 μB per cell

Cell: 5.171 5.258 10.636 Å, 90.00 90.00 90.00°
Element x y z (fractional)
1 Li 0.212 0.250 0.177
2 Li 0.288 0.750 0.677
3 Li 0.712 0.250 0.323
4 Li 0.788 0.750 0.823
5 Y 0.219 0.250 0.496
6 Y 0.281 0.750 0.996
7 Y 0.719 0.250 0.004
8 Y 0.781 0.750 0.504
9 Hf 0.186 0.250 0.800
10 Hf 0.314 0.750 0.300
11 Hf 0.686 0.250 0.700
12 Hf 0.814 0.750 0.200


13.
Material: Re2Mo
Method: DFT, PBE
State: optimized geometry

## Properties
formation energy: 136.2 meV/atom
ρ: 16.86 g/cm³
space group: P-3m1
ΔE to the lowest computed polymorph: 20.9 meV per atom
magnetic moment: 0.00 μB per cell

Cell: 2.776 2.776 6.915 Å, 90.00 90.00 120.00°
Element x y z (fractional)
1 Re 0.333 0.667 0.342
2 Re 0.667 0.333 0.658
3 Mo 0.000 0.000 0.000


14.
Material: Tl5Cd2Hg3
Method: DFT, PBE
State: optimized geometry

## Properties
formation energy: 11.7 meV/atom
ρ: 10.81 g/cm³
space group: C2/c
magnetic moment: 0.00 μB per cell

Cell: 8.744 8.744 10.837 Å, 121.95 121.95 59.94°
Element x y z (fractional)
1 Tl 0.066 0.803 0.355
2 Tl 0.141 0.302 0.046
3 Tl 0.197 0.934 0.145
4 Tl 0.209 0.791 0.750
5 Tl 0.302 0.141 0.546
6 Tl 0.698 0.859 0.454
7 Tl 0.791 0.209 0.250
8 Tl 0.803 0.066 0.855
9 Tl 0.859 0.698 0.954
10 Tl 0.934 0.197 0.645
11 Cd 0.299 0.476 0.901
12 Cd 0.476 0.299 0.401
13 Cd 0.524 0.701 0.599
14 Cd 0.701 0.524 0.099
15 Hg 0.067 0.448 0.370
16 Hg 0.429 0.571 0.250
17 Hg 0.448 0.067 0.870
18 Hg 0.552 0.933 0.130
19 Hg 0.571 0.429 0.750
20 Hg 0.933 0.552 0.630


15.
Material: CdGa2Pt2
Method: DFT, PBE
State: optimized geometry

## Properties
formation energy: -481.7 meV/atom
ρ: 11.93 g/cm³
space group: I4/mmm
ΔE to the lowest computed polymorph: 0.0 meV per atom
magnetic moment: 0.00 μB per cell

Cell: 6.698 6.698 6.698 Å, 146.88 146.88 47.54°
Element x y z (fractional)
1 Cd 0.000 0.000 0.000
2 Ga 0.250 0.750 0.500
3 Ga 0.750 0.250 0.500
4 Pt 0.389 0.389 0.000
5 Pt 0.611 0.611 0.000


16.
Material: CePmTc
Method: DFT, PBE
State: optimized geometry

## Properties
formation energy: 26.1 meV/atom
ρ: 9.16 g/cm³
space group: I4mm
ΔE to the lowest computed polymorph: 68.7 meV per atom
magnetic moment: 0.00 μB per cell

Cell: 6.212 6.212 6.212 Å, 147.36 147.36 46.83°
Element x y z (fractional)
1 Ce 0.000 0.000 0.000
2 Pm 0.702 0.702 0.000
3 Tc 0.372 0.372 0.000


17.
Material: CuGeRh2
Method: DFT, PBE
State: optimized geometry

## Properties
formation energy: -300.2 meV/atom
ρ: 10.42 g/cm³
space group: P4/mmm
magnetic moment: 0.00 μB per cell

Cell: 4.266 4.266 2.997 Å, 90.00 90.00 90.00°
Element x y z (fractional)
1 Cu 0.000 0.000 0.000
2 Ge 0.500 0.500 0.000
3 Rh 0.000 0.500 0.500
4 Rh 0.500 0.000 0.500


18.
Material: Na2CrGe2
Method: DFT, PBE
State: optimized geometry

## Properties
formation energy: 146.5 meV/atom
ρ: 3.72 g/cm³
space group: P4/mbm
magnetic moment: 7.82 μB per cell

Cell: 6.702 6.702 4.840 Å, 90.00 90.00 90.00°
Element x y z (fractional)
1 Na 0.174 0.326 0.000
2 Na 0.326 0.826 0.000
3 Na 0.674 0.174 0.000
4 Na 0.826 0.674 0.000
5 Cr 0.000 0.000 0.500
6 Cr 0.500 0.500 0.500
7 Ge 0.132 0.632 0.500
8 Ge 0.368 0.132 0.500
9 Ge 0.632 0.868 0.500
10 Ge 0.868 0.368 0.500


19.
Material: KCaSn3
Method: DFT, PBE
State: optimized geometry

## Properties
formation energy: 684.2 meV/atom
ρ: 3.74 g/cm³
space group: Pm-3m
ΔE to the lowest computed polymorph: 426.1 meV per atom
magnetic moment: 0.00 μB per cell

Cell: 5.779 5.779 5.779 Å, 90.00 90.00 90.00°
Element x y z (fractional)
1 K 0.000 0.000 0.000
2 Ca 0.500 0.500 0.500
3 Sn 0.000 0.000 0.500
4 Sn 0.000 0.500 0.000
5 Sn 0.500 0.000 0.000


20.
Material: Na4BiAu
Method: DFT, PBE
State: optimized geometry

## Properties
formation energy: -347.5 meV/atom
ρ: 4.85 g/cm³
space group: C2/m
magnetic moment: 0.00 μB per cell

Cell: 9.060 9.060 5.522 Å, 107.68 107.68 53.07°
Element x y z (fractional)
1 Na 0.103 0.612 0.357
2 Na 0.186 0.814 0.000
3 Na 0.319 0.319 0.818
4 Na 0.388 0.897 0.643
5 Na 0.612 0.103 0.357
6 Na 0.681 0.681 0.182
7 Na 0.814 0.186 0.000
8 Na 0.897 0.388 0.643
9 Bi 0.185 0.185 0.185
10 Bi 0.815 0.815 0.815
11 Au 0.500 0.500 0.254
12 Au 0.500 0.500 0.746


no.,uncorrected energy (eV/f.u.)
1,-13.7
2,-24.8
3,-47.5
4,-29.7
5,-8.6
6,-34.1
7,-24.1
8,-8.6
9,-22.1
10,-18.2
11,-57.3
12,-17.5
13,-35.3
14,-14.4
15,-21.5
16,-21.0
17,-24.6
18,-20.8
19,-11.7
20,-14.5